The following is a DFT calculation (PBE) of a relaxed structure of Na2ZrSn.

For the calculated volume, the calculation gives 448.9 Å³/cell. Its electronic total energy is -3.337 eV per atom. As for the formation energy: 0.46 eV/atom.

The structure belongs to space group I-42d (No. 122); the cell edges are 8.7212, 8.7212 and 5.9024 Å and the angles 90.00°, 90.00° and 90.00°. The distinct sites, in fractional coordinates, are Na at (0.2276, 0.2500, 0.1250), Zr at (0.0000, 0.0000, 0.5000) and Sn at (0.0000, 0.0000, 0.0000).